1.
{
  "formula": "RbTeAsI2",
  "functional": "PBE-GGA",
  "state": "relaxed",
  "de_polymorph_mev_per_atom": 1293,
  "n_ef_per_ev_cell": 16.9,
  "total_magnetization_mub_per_atom": 0.00,
  "spacegroup": "P4/mmm, No. 123",
  "formation_energy_uncorrected_ev_per_atom": 0.874,
  "e_tot_ev_per_atom": -1.498,
  "cell": [[6.510, 0.000, 0.000], [0.000, 6.510, 0.000], [0.000, 0.000, 6.604]],
  "species": ["Rb", "Te", "As", "I", "I"],
  "fractional_positions": [[0.000, 0.000, 0.000], [0.000, 0.000, 0.500], [0.500, 0.500, 0.500], [0.000, 0.500, 0.000], [0.500, 0.000, 0.000]]
}

2.
{
  "formula": "RbVAsI6",
  "functional": "PBE-GGA",
  "state": "relaxed",
  "total_magnetization_mub_per_atom": 0.33,
  "spacegroup": "P312, No. 149",
  "formation_energy_uncorrected_ev_per_atom": -0.550,
  "e_tot_ev_per_atom": -3.221,
  "cell": [[7.463, 0.000, 0.000], [-3.732, 6.463, 0.000], [0.000, 0.000, 8.259]],
  "species": ["Rb", "V", "As", "I", "I", "I", "I", "I", "I"],
  "fractional_positions": [[0.000, 0.000, 0.000], [0.333, 0.667, 0.500], [0.667, 0.333, 0.500], [0.008, 0.376, 0.698], [0.008, 0.632, 0.302], [0.368, 0.376, 0.302], [0.368, 0.992, 0.698], [0.624, 0.632, 0.698], [0.624, 0.992, 0.302]]
}

3.
{
  "formula": "Rb2YAsI6",
  "functional": "PBE-GGA",
  "state": "relaxed",
  "n_ef_per_ev_cell": 0.0,
  "total_magnetization_mub_per_atom": 0.00,
  "spacegroup": "I4/mmm, No. 139",
  "formation_energy_uncorrected_ev_per_atom": -0.949,
  "e_tot_ev_per_atom": -3.184,
  "cell": [[-4.152, 4.152, 7.006], [4.152, -4.152, 7.006], [4.152, 4.152, -7.006]],
  "species": ["Rb", "Rb", "Y", "As", "I", "I", "I", "I", "I", "I"],
  "fractional_positions": [[0.250, 0.750, 0.500], [0.750, 0.250, 0.500], [0.000, 0.000, 0.000], [0.500, 0.500, 0.000], [0.216, 0.216, 0.000], [0.257, 0.257, 0.514], [0.257, 0.743, 0.000], [0.743, 0.257, 0.000], [0.743, 0.743, 0.486], [0.784, 0.784, 0.000]]
}

4.
{
  "formula": "Rb2ZnAsI6",
  "functional": "PBE-GGA",
  "state": "relaxed",
  "n_ef_per_ev_cell": 2.8,
  "total_magnetization_mub_per_atom": 0.00,
  "spacegroup": "I4/mmm, No. 139",
  "formation_energy_uncorrected_ev_per_atom": -0.706,
  "e_tot_ev_per_atom": -2.422,
  "cell": [[-4.169, 4.169, 5.779], [4.169, -4.169, 5.779], [4.169, 4.169, -5.779]],
  "species": ["Rb", "Rb", "Zn", "As", "I", "I", "I", "I", "I", "I"],
  "fractional_positions": [[0.250, 0.750, 0.500], [0.750, 0.250, 0.500], [0.000, 0.000, 0.000], [0.500, 0.500, 0.000], [0.245, 0.245, 0.000], [0.253, 0.253, 0.506], [0.253, 0.747, 0.000], [0.747, 0.253, 0.000], [0.747, 0.747, 0.494], [0.755, 0.755, 0.000]]
}

5.
{
  "formula": "ReAsI2",
  "functional": "PBE-GGA",
  "state": "relaxed",
  "de_polymorph_mev_per_atom": 985,
  "n_ef_per_ev_cell": 3.3,
  "total_magnetization_mub_per_atom": 0.00,
  "spacegroup": "Fm-3m, No. 225",
  "formation_energy_uncorrected_ev_per_atom": 1.420,
  "e_tot_ev_per_atom": -3.630,
  "cell": [[0.000, 3.511, 3.511], [3.511, 0.000, 3.511], [3.511, 3.511, 0.000]],
  "species": ["Re", "As", "I", "I"],
  "fractional_positions": [[0.000, 0.000, 0.000], [0.500, 0.500, 0.500], [0.250, 0.250, 0.250], [0.750, 0.750, 0.750]]
}

6.
{
  "formula": "ReAsI2",
  "functional": "PBE-GGA",
  "state": "relaxed",
  "de_polymorph_mev_per_atom": 0,
  "n_ef_per_ev_cell": 1.5,
  "total_magnetization_mub_per_atom": 0.00,
  "spacegroup": "I-42d, No. 122",
  "formation_energy_uncorrected_ev_per_atom": 0.435,
  "e_tot_ev_per_atom": -4.615,
  "cell": [[-5.020, 5.020, 2.377], [5.020, -5.020, 2.377], [5.020, 5.020, -2.377]],
  "species": ["Re", "Re", "As", "As", "I", "I", "I", "I"],
  "fractional_positions": [[0.000, 0.000, 0.000], [0.750, 0.250, 0.500], [0.250, 0.750, 0.500], [0.500, 0.500, 0.000], [0.375, 0.020, 0.145], [0.770, 0.625, 0.645], [0.875, 0.230, 0.855], [0.980, 0.125, 0.355]]
}

7.
{
  "formula": "ReAs2I",
  "functional": "PBE-GGA",
  "state": "relaxed",
  "de_polymorph_mev_per_atom": 669,
  "n_ef_per_ev_cell": 4.3,
  "total_magnetization_mub_per_atom": 0.00,
  "spacegroup": "Fm-3m, No. 225",
  "formation_energy_uncorrected_ev_per_atom": 1.188,
  "e_tot_ev_per_atom": -4.636,
  "cell": [[0.000, 3.361, 3.361], [3.361, 0.000, 3.361], [3.361, 3.361, 0.000]],
  "species": ["Re", "As", "As", "I"],
  "fractional_positions": [[0.000, 0.000, 0.000], [0.250, 0.250, 0.250], [0.750, 0.750, 0.750], [0.500, 0.500, 0.500]]
}

8.
{
  "formula": "ReAs2I",
  "functional": "PBE-GGA",
  "state": "relaxed",
  "de_polymorph_mev_per_atom": 0,
  "n_ef_per_ev_cell": 1.3,
  "total_magnetization_mub_per_atom": 0.00,
  "spacegroup": "I-42d, No. 122",
  "formation_energy_uncorrected_ev_per_atom": 0.519,
  "e_tot_ev_per_atom": -5.306,
  "cell": [[-3.342, 3.342, 5.351], [3.342, -3.342, 5.351], [3.342, 3.342, -5.351]],
  "species": ["Re", "Re", "As", "As", "As", "As", "I", "I"],
  "fractional_positions": [[0.000, 0.000, 0.000], [0.750, 0.250, 0.500], [0.021, 0.625, 0.896], [0.375, 0.271, 0.396], [0.729, 0.125, 0.104], [0.875, 0.979, 0.604], [0.250, 0.750, 0.500], [0.500, 0.500, 0.000]]
}